(1)
Compound: RbUHg2Cl6
Source: the Alexandria database
Functional: PBE-GGA
Structure: optimized geometry

The space group is P-3m1 (No. 164) and the conventional cell measures 7.5507, 7.5507 and 8.4777 Å, with angles of 90.00, 90.00 and 120.00 degrees. The inequivalent atoms are Rb at (0.0000, 0.0000, 0.0000), U at (0.0000, 0.0000, 0.5000), Hg at (0.3333, 0.6667, 0.1028) and Cl at (0.1565, 0.3130, 0.6774).

Its uncorrected formation energy is -1383 meV per atom. The calculation puts the total energy at -3.78 eV per atom. The value obtained for the calculated density is 3719 kg/m³.


(2)
Compound: YMgBe4
Source: the Alexandria database
Functional: PBE-GGA
Structure: optimized geometry

The space group is F-43m (No. 216) and the conventional cell measures 6.910, 6.910 and 6.910 Å, with angles of 90.00, 90.00 and 90.00 degrees. The inequivalent atoms are Y at (0.000, 0.000, 0.000), Mg at (0.250, 0.250, 0.250) and Be at (0.128, 0.128, 0.628).

The calculation puts the total energy at -3.71 eV per atom. The value obtained for the calculated density is 3005 kg/m³. The energy relative to the elements is 0.116 eV per atom.


(3)
Compound: Dy4ZnCu2Pd
Source: the Alexandria database
Functional: PBE-GGA
Structure: optimized geometry

The space group is R-3m (No. 166, hexagonal axes) and the conventional cell measures 4.9526, 4.9526 and 24.3554 Å, with angles of 90.00, 90.00 and 120.00 degrees. The inequivalent atoms are Dy at (0.0000, 0.0000, 0.1233), Dy at (0.0000, 0.0000, 0.3736), Zn at (0.0000, 0.0000, 0.5000), Cu at (0.0000, 0.0000, 0.2454) and Pd at (0.0000, 0.0000, 0.0000).

The calculation puts the total energy at -4.57 eV per atom. The value obtained for the calculated density is 9137 kg/m³. The energy relative to the elements is -0.440 eV per atom.


(4)
Compound: La2Nd8Sc3
Source: the Alexandria database
Functional: PBE-GGA
Structure: optimized geometry

The space group is C2/m (No. 12) and the conventional cell measures 13.426, 11.593 and 6.033 Å, with angles of 90.00, 112.99 and 90.00 degrees. The inequivalent atoms are La at (0.184, 0.000, 0.340), Nd at (0.082, 0.000, 0.775), Nd at (0.136, 0.500, 0.111), Nd at (0.154, 0.264, 0.650), Sc at (0.000, 0.241, 0.000) and Sc at (0.000, 0.500, 0.500).

The calculation puts the total energy at -4.98 eV per atom. The value obtained for the calculated density is 6019 kg/m³. The energy relative to the elements is 0.176 eV per atom.


(5)
Compound: Cs4HfBi4
Source: the Alexandria database
Functional: PBE-GGA
Structure: optimized geometry

The space group is I-42m (No. 121) and the conventional cell measures 8.110, 8.110 and 15.965 Å, with angles of 90.00, 90.00 and 90.00 degrees. The inequivalent atoms are Cs at (0.198, 0.198, 0.354), Hf at (0.000, 0.000, 0.000) and Bi at (0.204, 0.204, 0.100).

The calculation puts the total energy at -3.32 eV per atom. The value obtained for the calculated density is 4890 kg/m³. The energy relative to the elements is -0.114 eV per atom.


(6)
Compound: La3Nd2ErSe6
Source: the Alexandria database
Functional: PBE-GGA
Structure: optimized geometry

The space group is C2/m (No. 12) and the conventional cell measures 18.469, 4.219 and 8.533 Å, with angles of 90.00, 103.33 and 90.00 degrees. The inequivalent atoms are La at (0.000, 0.000, 0.000), La at (0.170, 0.500, 0.334), Nd at (0.168, 0.500, 0.835), Er at (0.000, 0.000, 0.500), Se at (0.000, 0.500, 0.266), Se at (0.160, 0.000, 0.583) and Se at (0.167, 0.000, 0.081).

Its uncorrected formation energy is -1898 meV per atom. The calculation puts the total energy at -6.05 eV per atom. The value obtained for the calculated density is 6910 kg/m³.